# 1
Here is a PBEsol-optimized structure of Tl5Cd from the Alexandria database. Energies are from SCAN.

Fermi-level density of states	3.12	states/eV per cell
symmetry	No. 189
offset from the most stable computed form	12	meV per atom
final energy	-65.321	eV per atom

```
Tl5Cd
1.0
5.373 0.000 0.000
0.000 5.919 0.000
0.000 -2.959 5.126
Tl Cd
5 1
direct
0.500 0.333 0.667
0.000 0.327 0.327
0.000 0.673 0.000
0.500 0.667 0.333
0.000 0.000 0.673
0.500 0.000 0.000
```



# 2
Here is a PBEsol-optimized structure of Zn11Ni2 from the Alexandria database. Energies are from SCAN.

Fermi-level density of states	4.59	states/eV per cell
symmetry	No. 217
final energy	-14.088	eV per atom

```
Zn11Ni2
1.0
7.608 0.000 0.000
-2.536 7.173 0.000
-2.536 -3.587 6.212
Zn Ni
22 4
direct
0.000 0.355 0.355
0.000 0.000 0.789
0.000 0.789 0.000
0.211 0.211 0.211
0.615 0.351 0.351
0.264 0.649 0.000
0.264 0.000 0.649
0.385 0.736 0.736
0.789 0.000 0.000
0.649 0.000 0.264
0.355 0.355 0.000
0.645 0.000 0.645
0.000 0.264 0.649
0.351 0.615 0.351
0.645 0.645 0.000
0.736 0.736 0.385
0.000 0.649 0.264
0.649 0.264 0.000
0.355 0.000 0.355
0.351 0.351 0.615
0.736 0.385 0.736
0.000 0.645 0.645
0.000 0.000 0.344
0.344 0.000 0.000
0.000 0.344 0.000
0.656 0.656 0.656
```



# 3
Here is a PBEsol-optimized structure of MgZr2Zn from the Alexandria database. Energies are from SCAN.

Fermi-level density of states	3.41	states/eV per cell
symmetry	No. 139
offset from the most stable computed form	45	meV per atom
final energy	-20.072	eV per atom

```
MgZr2Zn
1.0
-3.365 -1.367 -2.360
2.634 -2.602 -2.248
-0.309 -1.045 5.021
Zr Mg Zn
2 1 1
direct
0.750 0.250 0.500
0.250 0.750 0.500
0.500 0.500 0.000
0.000 0.000 0.000
```



# 4
Here is a PBEsol-optimized structure of Mg2BeCr from the Alexandria database. Energies are from SCAN.

Fermi-level density of states	1.57	states/eV per cell
symmetry	No. 160
final energy	-7.633	eV per atom

```
Mg2BeCr
1.0
-1.618 -1.719 -1.458
-1.411 -2.008 1.294
-7.948 4.348 1.051
Mg Be Cr
2 1 1
direct
0.991 0.991 0.027
0.760 0.760 0.721
0.508 0.508 0.475
0.241 0.241 0.277
```